*i*
This record from the Alexandria database describes a geometry-optimized K3Cr structure. The functional is PBE.

Cell lengths 7.8495, 7.8495, 6.6543 Å; angles 114.57, 114.57, 34.71 degrees
With the nearest neighbours (Å) after each atom.
Fractional positions:
K (0.0000, 0.0000, 0.0000)  4 Cr 4.07, 4 K 4.33-4.37
K (0.2080, 0.2080, 0.7081)  2 Cr 3.65
K (0.7920, 0.7920, 0.2919)  2 Cr 3.65
Cr (0.5000, 0.5000, 0.5000)  8 K 3.65-4.07

*ii*
This record from the Alexandria database describes a geometry-optimized K3Cr structure. The functional is PBE.

Cell lengths 6.4994, 6.4994, 6.4994 Å; angles 119.25, 119.25, 91.31 degrees
With the nearest neighbours (Å) after each atom.
Fractional positions:
K (0.0000, 0.0000, 0.0000)  8 K 4.00
K (0.2500, 0.7500, 0.5000)  4 Cr 4.00, 4 K 4.00
K (0.7500, 0.2500, 0.5000)  4 Cr 4.00, 4 K 4.00
Cr (0.5000, 0.5000, 0.0000)  8 K 4.00

*iii*
This record from the Alexandria database describes a geometry-optimized K3Cr structure. The functional is PBE.

Cell lengths 4.5292, 4.5292, 12.7802 Å; angles 90.00, 90.00, 120.00 degrees
With the nearest neighbours (Å) after each atom.
Fractional positions:
K (0.0000, 0.0000, 0.0000)  12 K 4.53-4.69
K (0.6667, 0.3333, 0.3049)  3 Cr 3.61
K (0.6667, 0.3333, 0.6951)  3 Cr 3.61
Cr (0.0000, 0.0000, 0.5000)  6 K 3.61

What should be chosen as the most stable of them? Choose *ii*.

*i*
This record from the Alexandria database describes a geometry-optimized KLa2Cr structure. The functional is PBE.

Cell lengths 4.3671, 4.3671, 10.9153 Å; angles 94.98, 94.98, 49.48 degrees
With the nearest neighbours (Å) after each atom.
Fractional positions:
K (0.0000, 0.0000, 0.0000)  2 K 3.65
La (0.2311, 0.2311, 0.6582)  3 Cr 2.87-3.01
La (0.7689, 0.7689, 0.3418)  3 Cr 2.87-3.01
Cr (0.5000, 0.5000, 0.5000)  6 La 2.87-3.01

*ii*
This record from the Alexandria database describes a geometry-optimized KLa2Cr structure. The functional is PBE.

Cell lengths 6.6624, 6.6624, 6.6624 Å; angles 137.20, 137.20, 62.14 degrees
With the nearest neighbours (Å) after each atom.
Fractional positions:
K (0.0000, 0.0000, 0.0000)  8 La 3.44-3.75, 4 Cr 3.75
La (0.2500, 0.7500, 0.5000)  4 Cr 3.44, 4 La 3.75, 4 K 3.75
La (0.5000, 0.5000, 0.0000)  4 K 3.44, 4 Cr 3.75, 4 La 3.75
Cr (0.7500, 0.2500, 0.5000)  8 La 3.44-3.75, 4 K 3.75

*iii*
This record from the Alexandria database describes a geometry-optimized KLa2Cr structure. The functional is PBE.

Cell lengths 5.5987, 5.5987, 4.3217 Å; angles 90.00, 90.00, 90.00 degrees
With the nearest neighbours (Å) after each atom.
Fractional positions:
K (0.0000, 0.0000, 0.0000)  8 La 3.54, 4 Cr 3.96
La (0.0000, 0.5000, 0.5000)  4 Cr 3.54, 4 K 3.54, 4 La 3.96
La (0.5000, 0.0000, 0.5000)  4 Cr 3.54, 4 K 3.54, 4 La 3.96
Cr (0.5000, 0.5000, 0.0000)  8 La 3.54, 4 K 3.96

*iv*
This record from the Alexandria database describes a geometry-optimized KLa2Cr structure. The functional is PBE.

Cell lengths 3.8167, 3.8167, 10.2633 Å; angles 90.00, 90.00, 90.00 degrees
With the nearest neighbours (Å) after each atom.
Fractional positions:
K (0.0000, 0.0000, 0.0000)  4 Cr 3.77, 4 K 3.82, 1 La 4.21
La (0.0000, 0.0000, 0.5900)  4 Cr 3.12
La (0.5000, 0.5000, 0.3534)  8 La 3.63-3.82, 1 Cr 4.00
Cr (0.5000, 0.5000, 0.7432)  4 La 3.12

What should be chosen as the most stable of them? Choose *i*.

*i*
This record from the Alexandria database describes a geometry-optimized KLa2Cr structure. The functional is PBE.

Cell lengths 4.3707, 4.3707, 11.2944 Å; angles 105.24, 105.24, 49.55 degrees
With the nearest neighbours (Å) after each atom.
Fractional positions:
K (0.0000, 0.0000, 0.0000)  2 K 3.66
La (0.5807, 0.5807, 0.6561)  3 Cr 2.87-3.01
La (0.8700, 0.8700, 0.3388)  3 Cr 2.87-3.01
Cr (0.2251, 0.2251, 0.4971)  6 La 2.87-3.01

*ii*
This record from the Alexandria database describes a geometry-optimized KLa2Cr structure. The functional is PBE.

Cell lengths 12.1782, 12.1782, 12.1782 Å; angles 18.18, 18.18, 18.18 degrees
With the nearest neighbours (Å) after each atom.
Fractional positions:
K (0.0000, 0.0000, 0.0000)  6 K 3.85
La (0.2241, 0.2241, 0.2241)  3 Cr 3.03
La (0.7759, 0.7759, 0.7759)  3 Cr 3.03
Cr (0.5000, 0.5000, 0.5000)  6 La 3.03

*iii*
This record from the Alexandria database describes a geometry-optimized KLa2Cr structure. The functional is PBE.

Cell lengths 3.7510, 3.7510, 10.7417 Å; angles 90.00, 90.00, 90.00 degrees
With the nearest neighbours (Å) after each atom.
Fractional positions:
K (0.0000, 0.0000, 0.0000)  4 K 3.75
La (0.5000, 0.5000, 0.3368)  4 Cr 3.18, 1 La 3.51
La (0.5000, 0.5000, 0.6632)  4 Cr 3.18, 1 La 3.51
Cr (0.0000, 0.0000, 0.5000)  8 La 3.18

*iv*
This record from the Alexandria database describes a geometry-optimized KLa2Cr structure. The functional is PBE.

Cell lengths 7.1011, 7.1011, 3.4587 Å; angles 101.96, 101.96, 119.66 degrees
With the nearest neighbours (Å) after each atom.
Fractional positions:
K (0.0000, 0.0000, 0.0000)  2 K 3.46, 4 Cr 3.57-3.81, 4 La 3.61
La (0.0000, 0.5000, 0.5000)  6 La 3.46-3.81, 2 Cr 3.61, 2 K 3.61
La (0.5000, 0.0000, 0.5000)  6 La 3.46-3.81, 2 Cr 3.61, 2 K 3.61
Cr (0.5000, 0.5000, 0.0000)  2 Cr 3.46, 4 K 3.57-3.81, 4 La 3.61

What should be chosen as the most stable of them? Choose *iii*.

*i*
This record from the Alexandria database describes a geometry-optimized KLa2Cr structure. The functional is PBE.

Cell lengths 5.4152, 5.4152, 5.4152 Å; angles 60.00, 60.00, 60.00 degrees
With the nearest neighbours (Å) after each atom.
Fractional positions:
K (0.0000, 0.0000, 0.0000)  8 La 3.32
La (0.2500, 0.2500, 0.2500)  4 Cr 3.32, 4 K 3.32
La (0.7500, 0.7500, 0.7500)  4 Cr 3.32, 4 K 3.32
Cr (0.5000, 0.5000, 0.5000)  8 La 3.32

*ii*
This record from the Alexandria database describes a geometry-optimized KLa2Cr structure. The functional is PBE.

Cell lengths 3.5539, 4.3753, 9.7429 Å; angles 90.00, 99.22, 90.00 degrees
With the nearest neighbours (Å) after each atom.
Fractional positions:
K (0.0000, 0.0000, 0.0000)  2 K 3.55
La (0.3562, 0.0000, 0.6180)  2 Cr 2.54
La (0.6871, 0.5000, 0.3603)  1 Cr 2.26
Cr (0.9893, 0.5000, 0.5824)  1 La 2.26

*iii*
This record from the Alexandria database describes a geometry-optimized KLa2Cr structure. The functional is PBE.

Cell lengths 9.5302, 9.5302, 9.5302 Å; angles 158.68, 149.67, 37.37 degrees
With the nearest neighbours (Å) after each atom.
Fractional positions:
K (0.0000, 0.0000, 0.0000)  2 K 3.53, 2 Cr 3.82
La (0.3190, 0.8190, 0.5000)  4 Cr 3.06
La (0.6771, 0.6771, 0.0000)  2 Cr 3.01
Cr (0.8121, 0.3121, 0.5000)  6 La 3.01-3.06

*iv*
This record from the Alexandria database describes a geometry-optimized KLa2Cr structure. The functional is PBE.

Cell lengths 5.7429, 5.7429, 5.7429 Å; angles 60.00, 60.00, 60.00 degrees
With the nearest neighbours (Å) after each atom.
Fractional positions:
K (0.0000, 0.0000, 0.0000)  4 Cr 3.52, 4 La 3.52
La (0.2500, 0.2500, 0.2500)  4 La 3.52, 4 K 3.52
La (0.5000, 0.5000, 0.5000)  4 Cr 3.52, 4 La 3.52
Cr (0.7500, 0.7500, 0.7500)  4 La 3.52, 4 K 3.52

What should be chosen as the most stable of them? Choose *iii*.